The following is a meta-GGA SCAN calculation of LiVP3O9 at its PBEsol-relaxed geometry, from Alexandria.

Cell lengths 5.345, 10.541, 11.927 Å; angles 90.00, 90.00, 90.00 degrees
Space group P2_12_12_1 (No. 19)
Unique sites:
Li 0.234 0.142 0.048 x4
V 0.096 0.465 0.127 x4
P 0.078 0.192 0.820 x4
P 0.089 0.847 0.867 x4
P 0.125 0.572 0.869 x4
O 0.021 0.476 0.951 x4
O 0.074 0.317 0.746 x4
O 0.077 0.436 0.569 x4
O 0.087 0.083 0.728 x4
O 0.095 0.709 0.927 x4
O 0.132 0.448 0.309 x4
O 0.149 0.115 0.341 x4
O 0.161 0.693 0.612 x4
O 0.185 0.820 0.387 x4

Output
Electronic total energy ... -563.5 eV per cell
Energy relative to the lowest polymorph listed for this composition ... 83 kJ/mol of formula units
Formation energy (no corrections) ... -2408 meV per atom
Total moment ... 0.214 μB per atom

=====

The following is a meta-GGA SCAN calculation of KMn2Tl at its PBEsol-relaxed geometry, from Alexandria.

Cell lengths 7.167, 7.167, 7.167 Å; angles 90.00, 90.00, 90.00 degrees
Space group F-43m (No. 216)
Unique sites:
K 0.000 0.000 0.000 x4
Mn 0.000 0.000 0.500 x4
Mn 0.250 0.250 0.750 x4
Tl 0.250 0.250 0.250 x4

Output
Electronic total energy ... -461.2 eV per cell
E_form ... 475 meV/atom
Energy relative to the lowest polymorph listed for this composition ... 128 kJ/mol of formula units
Total moment ... 2.247 μB per atom

=====

The following is a meta-GGA SCAN calculation of CrMo3 at its PBEsol-relaxed geometry, from Alexandria.

Cell lengths 2.666, 4.310, 5.073 Å; angles 90.00, 99.94, 90.00 degrees
Space group P2/m (No. 10)
Unique sites:
Cr 0.000 0.000 0.000 x1
Mo 0.251 0.500 0.755 x2
Mo 0.500 0.000 0.500 x1

Output
Electronic total energy ... -122.7 eV per cell
E_form ... 79 meV/atom
Total moment ... 0.001 μB per atom

=====

The following is a meta-GGA SCAN calculation of Fe2SiMo at its PBEsol-relaxed geometry, from Alexandria.

Cell lengths 3.776, 3.776, 6.497 Å; angles 90.00, 90.00, 90.00 degrees
Space group I4/mmm (No. 139)
Unique sites:
Fe 0.000 0.500 0.250 x4
Si 0.000 0.000 0.000 x2
Mo 0.000 0.000 0.500 x2

Output
Electronic total energy ... -162.5 eV per cell
Formation energy (no corrections) ... -20 meV per atom
Total moment ... 0.000 μB per atom

=====

The following is a meta-GGA SCAN calculation of SiTe at its PBEsol-relaxed geometry, from Alexandria.

Cell lengths 4.075, 3.797, 8.122 Å; angles 90.00, 90.00, 90.00 degrees
Space group Pmma (No. 51)
Unique sites:
Si 0.250 0.000 0.076 x2
Te 0.250 0.500 0.281 x2

Output
Electronic total energy ... -94.4 eV per cell
Formation energy (no corrections) ... 36 meV per atom
Total moment ... 0.000 μB per atom

=====

The following is a meta-GGA SCAN calculation of Mg2CuW at its PBEsol-relaxed geometry, from Alexandria.

Cell lengths 6.340, 6.340, 6.340 Å; angles 90.00, 90.00, 90.00 degrees
Space group F-43m (No. 216)
Unique sites:
Mg 0.000 0.000 0.000 x4
Mg 0.250 0.250 0.250 x4
Cu 0.000 0.000 0.500 x4
W 0.250 0.250 0.750 x4

Output
Electronic total energy ... -369.0 eV per cell
E_form ... 647 meV/atom
Energy relative to the lowest polymorph listed for this composition ... 80 kJ/mol of formula units
Total moment ... 0.560 μB per atom

=====

The following is a meta-GGA SCAN calculation of CaMgBe3 at its PBEsol-relaxed geometry, from Alexandria.

Cell lengths 4.534, 4.534, 4.534 Å; angles 90.00, 90.00, 90.00 degrees
Space group Pm-3m (No. 221)
Unique sites:
Ca 0.000 0.000 0.000 x1
Mg 0.500 0.500 0.500 x1
Be 0.000 0.500 0.500 x3

Output
Electronic total energy ... -23.1 eV per cell
E_form ... 920 meV/atom
Total moment ... 0.000 μB per atom

=====

The following is a meta-GGA SCAN calculation of HfMoRhW2 at its PBEsol-relaxed geometry, from Alexandria.

Cell lengths 4.704, 4.704, 4.483 Å; angles 90.00, 90.00, 90.00 degrees
Space group P4/mmm (No. 123)
Unique sites:
Hf 0.000 0.000 0.000 x1
Mo 0.500 0.500 0.500 x1
Rh 0.000 0.000 0.500 x1
W 0.000 0.500 0.000 x2

Output
Electronic total energy ... -259.4 eV per cell
E_form ... 2271 meV/atom
Total moment ... 0.105 μB per atom

=====

The following is a meta-GGA SCAN calculation of ZrBiRh2Cl at its PBEsol-relaxed geometry, from Alexandria.

Cell lengths 4.827, 4.827, 4.755 Å; angles 90.00, 90.00, 90.00 degrees
Space group P4/mmm (No. 123)
Unique sites:
Zr 0.000 0.000 0.000 x1
Bi 0.500 0.500 0.500 x1
Rh 0.000 0.500 0.000 x2
Cl 0.000 0.000 0.500 x1

Output
Electronic total energy ... -183.7 eV per cell
Formation energy (no corrections) ... 212 meV per atom
Total moment ... 0.000 μB per atom

=====

The following is a meta-GGA SCAN calculation of AlAgPt2 at its PBEsol-relaxed geometry, from Alexandria.

Cell lengths 2.868, 2.868, 7.236 Å; angles 90.00, 90.00, 90.00 degrees
Space group P4/mmm (No. 123)
Unique sites:
Al 0.000 0.000 0.000 x1
Ag 0.000 0.000 0.500 x1
Pt 0.500 0.500 0.219 x2

Output
Electronic total energy ... -182.6 eV per cell
E_form ... -785 meV/atom
Total moment ... 0.000 μB per atom

=====

The following is a meta-GGA SCAN calculation of CdReSe4 at its PBEsol-relaxed geometry, from Alexandria.

Cell lengths 7.865, 7.865, 7.865 Å; angles 90.00, 90.00, 90.00 degrees
Space group F-43m (No. 216)
Unique sites:
Cd 0.000 0.000 0.000 x4
Re 0.250 0.250 0.750 x4
Se 0.124 0.124 0.376 x16

Output
Electronic total energy ... -694.5 eV per cell
Formation energy (no corrections) ... 1368 meV per atom
Total moment ... 0.675 μB per atom

=====

The following is a meta-GGA SCAN calculation of CaO at its PBEsol-relaxed geometry, from Alexandria.

Cell lengths 4.776, 4.776, 4.776 Å; angles 90.00, 90.00, 90.00 degrees
Space group Fm-3m (No. 225)
Unique sites:
Ca 0.000 0.000 0.000 x4
O 0.000 0.000 0.500 x4

Output
Electronic total energy ... -89.5 eV per cell
Formation energy (no corrections) ... -3245 meV per atom
Total moment ... 0.000 μB per atom